[1]
## BRh3I (GGA-PBEsol)

Data for an optimized crystal structure of BRh3I.

Lattice parameters (Å, degrees): 4.763 4.763 4.763 90.00 90.00 90.00
Atoms (fractional coordinates):
I 0.000 0.000 0.000
B 0.500 0.500 0.500
Rh 0.000 0.500 0.000
Rh 0.000 0.000 0.500
Rh 0.500 0.000 0.000

Calculated values
* raw formation energy: 2.20 eV/atom
* total magnetization: 0.004 μB per atom
* crystal system: cubic



[2]
## B3RuI (GGA-PBEsol)

Data for an optimized crystal structure of B3RuI.

Lattice parameters (Å, degrees): 4.205 4.205 4.205 90.00 90.00 90.00
Atoms (fractional coordinates):
I 0.500 0.500 0.500
Ru 0.000 0.000 0.000
B 0.000 0.500 0.000
B 0.000 0.000 0.500
B 0.500 0.000 0.000

Calculated values
* raw formation energy: 1.32 eV/atom
* total magnetization: 0.000 μB per atom
* crystal system: cubic



[3]
## BS3I (GGA-PBEsol)

Data for an optimized crystal structure of BS3I.

Lattice parameters (Å, degrees): 5.022 5.022 5.022 90.00 90.00 90.00
Atoms (fractional coordinates):
I 0.000 0.000 0.000
S 0.000 0.500 0.000
S 0.000 0.000 0.500
S 0.500 0.000 0.000
B 0.500 0.500 0.500

Calculated values
* raw formation energy: 1.75 eV/atom
* total magnetization: 0.000 μB per atom
* crystal system: cubic